[1]
Here is a relaxed Pr2Dy7Er2 crystal from Alexandria via LeMat-Bulk. Energies are from PBE-GGA.

Cell and atoms, written as POSCAR:
```
Pr2Dy7Er2
1.0
-3.828 -6.736 -2.184
-5.580 -1.362 -8.697
6.193 -4.532 2.431
Pr Dy Er
2 7 2
direct
0.217 0.695 0.783
0.783 0.305 0.217
0.232 0.680 0.242
0.758 0.680 0.768
0.646 0.080 0.354
0.000 0.500 0.000
0.354 0.920 0.646
0.768 0.320 0.758
0.242 0.320 0.232
0.714 0.000 0.714
0.286 0.000 0.286
```

## Properties
space-group type = C2/m (12)
magnetic moment = 0.00 μB/f.u.
E_tot = -49.24 eV per cell
ΔE_f = 151 meV/atom

[2]
Here is a relaxed PrDyEr3 crystal from Alexandria via LeMat-Bulk. Energies are from PBE-GGA.

Cell and atoms, written as POSCAR:
```
PrDyEr3
1.0
3.623 -0.001 0.000
-1.810 8.319 0.000
0.000 0.000 11.557
Pr Dy Er
2 2 6
direct
0.310 0.120 0.250
0.690 0.880 0.750
0.984 0.467 0.250
0.016 0.533 0.750
0.847 0.193 0.997
0.153 0.807 0.003
0.847 0.193 0.503
0.153 0.807 0.497
0.647 0.793 0.250
0.353 0.207 0.750
```

## Properties
space-group type = Cmcm (63)
magnetic moment = 0.00 μB/f.u.
E_tot = -42.78 eV per cell
ΔE_f = 336 meV/atom

[3]
Here is a relaxed Pr3Dy2Er crystal from Alexandria via LeMat-Bulk. Energies are from PBE-GGA.

Cell and atoms, written as POSCAR:
```
Pr3Dy2Er
1.0
-3.897 2.939 -1.692
1.650 -3.242 -9.433
-3.783 -5.691 6.713
Pr Dy Er
6 4 2
direct
0.500 0.250 0.000
0.500 0.750 0.000
0.167 0.417 0.333
0.833 0.083 0.667
0.833 0.583 0.667
0.167 0.917 0.333
0.666 0.666 0.333
0.334 0.834 0.667
0.666 0.166 0.333
0.334 0.334 0.667
0.000 0.500 0.000
0.000 0.000 0.000
```

## Properties
space-group type = Cmmm (65)
magnetic moment = 0.00 μB/f.u.
E_tot = -56.01 eV per cell
ΔE_f = 17 meV/atom

[4]
Here is a relaxed PrDy4Er4 crystal from Alexandria via LeMat-Bulk. Energies are from PBE-GGA.

Cell and atoms, written as POSCAR:
```
PrDy4Er4
1.0
-4.023 9.118 1.941
-1.321 -7.432 -4.557
-0.025 -7.643 9.718
Pr Dy Er
2 8 8
direct
0.001 0.001 0.750
0.999 0.999 0.250
0.112 0.777 0.474
0.112 0.777 0.974
0.554 0.888 0.694
0.223 0.558 0.361
0.777 0.442 0.639
0.446 0.112 0.306
0.888 0.223 0.026
0.888 0.223 0.526
0.224 0.560 0.862
0.553 0.888 0.193
0.334 0.334 0.584
0.334 0.334 0.083
0.666 0.666 0.416
0.666 0.666 0.917
0.776 0.440 0.138
0.447 0.112 0.807
```

## Properties
space-group type = P-1 (2)
magnetic moment = 0.00 μB/f.u.
E_tot = -82.88 eV per cell
ΔE_f = 0 meV/atom

Repeat the third record exactly.
Here is a relaxed Pr3Dy2Er crystal from Alexandria via LeMat-Bulk. Energies are from PBE-GGA.

Cell and atoms, written as POSCAR:
```
Pr3Dy2Er
1.0
-3.897 2.939 -1.692
1.650 -3.242 -9.433
-3.783 -5.691 6.713
Pr Dy Er
6 4 2
direct
0.500 0.250 0.000
0.500 0.750 0.000
0.167 0.417 0.333
0.833 0.083 0.667
0.833 0.583 0.667
0.167 0.917 0.333
0.666 0.666 0.333
0.334 0.834 0.667
0.666 0.166 0.333
0.334 0.334 0.667
0.000 0.500 0.000
0.000 0.000 0.000
```

## Properties
space-group type = Cmmm (65)
magnetic moment = 0.00 μB/f.u.
E_tot = -56.01 eV per cell
ΔE_f = 17 meV/atom